Model P:
First-principles (PBE) data for crystalline BaBeIr at its relaxed geometry, as listed in the Alexandria database.

abc: 6.141 6.141 6.141
angles: 150.20 148.04 44.26
Positions (direct):
Ba 0.000 0.000 0.000
Be 0.735 0.735 0.000
Ir 0.269 0.269 0.000

=====

Model Q:
First-principles (PBE) data for crystalline BaBeIr at its relaxed geometry, as listed in the Alexandria database.

abc: 3.989 3.989 4.879
angles: 90.00 90.00 120.00
Positions (direct):
Ba 0.000 0.000 0.000
Be 0.667 0.333 0.500
Ir 0.333 0.667 0.500

=====

Model R:
First-principles (PBE) data for crystalline BaBeIr at its relaxed geometry, as listed in the Alexandria database.

abc: 4.935 4.935 4.935
angles: 60.00 60.00 60.00
Positions (direct):
Ba 0.000 0.000 0.000
Be 0.750 0.750 0.750
Ir 0.250 0.250 0.250

=====

Model S:
First-principles (PBE) data for crystalline BaBeIr at its relaxed geometry, as listed in the Alexandria database.

abc: 4.572 4.572 4.572
angles: 60.00 60.00 60.00
Positions (direct):
Ba 0.000 0.000 0.000
Be 0.250 0.250 0.250
Ir 0.500 0.500 0.500

=====

What is the stability order? It is model Q, model P, model S, model R, from most stable to least stable.